[1]
# Al3CuIr2

A relaxed structure of Al3CuIr2 (PBE-GGA, Alexandria via LeMat-Bulk).

Unit cell a=2.985 b=2.985 c=9.156 alpha=90.00 beta=90.00 gamma=90.00
Fractional positions:
Al 0.000 0.000 0.000
Al 0.000 0.000 0.337
Al 0.000 0.000 0.663
Cu 0.500 0.500 0.500
Ir 0.500 0.500 0.170
Ir 0.500 0.500 0.830

Summary:
* distance to the lowest polymorph of the same formula: 0 meV/atom



[2]
# Al2CuIr

A relaxed structure of Al2CuIr (PBE-GGA, Alexandria via LeMat-Bulk).

Unit cell a=2.621 b=4.363 c=12.328 alpha=90.00 beta=90.00 gamma=90.00
Fractional positions:
Al 0.000 0.000 0.200
Al 0.000 0.000 0.800
Al 0.500 0.500 0.300
Al 0.500 0.500 0.700
Cu 0.000 0.000 0.500
Cu 0.500 0.500 0.000
Ir 0.000 0.000 0.000
Ir 0.500 0.500 0.500



[3]
# AlCuIr2

A relaxed structure of AlCuIr2 (PBE-GGA, Alexandria via LeMat-Bulk).

Unit cell a=2.888 b=4.687 c=8.377 alpha=90.00 beta=90.00 gamma=90.00
Fractional positions:
Al 0.000 0.000 0.000
Al 0.500 0.500 0.000
Cu 0.000 0.000 0.500
Cu 0.500 0.500 0.500
Ir 0.000 0.500 0.239
Ir 0.000 0.500 0.761
Ir 0.500 0.000 0.239
Ir 0.500 0.000 0.761



[4]
# Al2CuIr

A relaxed structure of Al2CuIr (PBE-GGA, Alexandria via LeMat-Bulk).

Unit cell a=2.854 b=2.854 c=24.375 alpha=90.00 beta=90.00 gamma=120.00
Fractional positions:
Al 0.000 0.000 0.248
Al 0.000 0.000 0.752
Al 0.333 0.667 0.418
Al 0.333 0.667 0.915
Al 0.667 0.333 0.085
Al 0.667 0.333 0.582
Cu 0.000 0.000 0.000
Cu 0.333 0.667 0.667
Cu 0.667 0.333 0.333
Ir 0.000 0.000 0.500
Ir 0.333 0.667 0.167
Ir 0.667 0.333 0.833



[5]
# Al2CuIr

A relaxed structure of Al2CuIr (PBE-GGA, Alexandria via LeMat-Bulk).

Unit cell a=2.846 b=2.846 c=24.871 alpha=90.00 beta=90.00 gamma=120.00
Fractional positions:
Al 0.000 0.000 0.000
Al 0.000 0.000 0.241
Al 0.333 0.667 0.667
Al 0.333 0.667 0.908
Al 0.667 0.333 0.333
Al 0.667 0.333 0.575
Cu 0.000 0.000 0.496
Cu 0.333 0.667 0.163
Cu 0.667 0.333 0.830
Ir 0.000 0.000 0.744
Ir 0.333 0.667 0.411
Ir 0.667 0.333 0.077



[6]
# AlCu2Ir

A relaxed structure of AlCu2Ir (PBE-GGA, Alexandria via LeMat-Bulk).

Unit cell a=2.774 b=4.579 c=8.566 alpha=90.00 beta=90.00 gamma=90.00
Fractional positions:
Al 0.000 0.000 0.000
Al 0.500 0.500 0.000
Cu 0.000 0.500 0.241
Cu 0.000 0.500 0.759
Cu 0.500 0.000 0.241
Cu 0.500 0.000 0.759
Ir 0.000 0.000 0.500
Ir 0.500 0.500 0.500



Ordered calculated formation energy results: -0.708 0.190 -0.162 -0.343 -0.191 0.049; unit eV/atom.